Computed, not measured: crystalline Th2TlZnRu at its relaxed geometry at the PBE-GGA level of DFT.

a b c (Å): 8.1846 4.0090 8.2161
angles (deg): 90.00 109.99 90.00
Sites, in units of the cell vectors:
1 Th 0.0982 0.2500 0.3413
2 Th 0.2889 0.2500 0.0006
3 Th 0.7111 0.7500 0.9994
4 Th 0.9018 0.7500 0.6587
5 Tl 0.3209 0.7500 0.6789
6 Tl 0.6791 0.2500 0.3211
7 Zn 0.4324 0.7500 0.3626
8 Zn 0.5676 0.2500 0.6374
9 Ru 0.1233 0.7500 0.1159
10 Ru 0.8767 0.2500 0.8841

Summary:
Total magnetization = 0.00 μB/f.u.
Mass density = 10.95 Mg/m³
Energy of formation = -0.311 eV per atom
Space-group type = No. 11